Version P
First-principles (PBE) data for crystalline SnIBr2 at its relaxed geometry, as listed in Alexandria via LeMat-Bulk.

## Properties
Total magnetic moment ... 0.64 μB/f.u.

Cell and atoms, written as CIF:
```
data_SnIBr2
_chemical_formula_sum 'Sn3 I3 Br6'
_cell_length_a 4.0903
_cell_length_b 4.0903
_cell_length_c 36.8381
_cell_angle_alpha 90.00
_cell_angle_beta 90.00
_cell_angle_gamma 120.00
_space_group_name_H-M_alt 'R -3 m'
_space_group_IT_number 166
_space_group_name_Hall '-R 3 2"'
loop_
_atom_site_label
_atom_site_type_symbol
_atom_site_fract_x
_atom_site_fract_y
_atom_site_fract_z
Sn1 Sn 0.0000 0.0000 0.0000
I1 I 0.0000 0.0000 0.5000
Br1 Br 0.0000 0.0000 0.3829
```


Version Q
First-principles (PBE) data for crystalline SnIBr2 at its relaxed geometry, as listed in Alexandria via LeMat-Bulk.

## Properties
Total magnetic moment ... 0.00 μB/f.u.

Cell and atoms, written as CIF:
```
data_SnIBr2
_chemical_formula_sum 'Sn3 I3 Br6'
_cell_length_a 3.3574
_cell_length_b 3.3574
_cell_length_c 42.1280
_cell_angle_alpha 90.00
_cell_angle_beta 90.00
_cell_angle_gamma 120.00
_space_group_name_H-M_alt 'R -3 m'
_space_group_IT_number 166
_space_group_name_Hall '-R 3 2"'
loop_
_atom_site_label
_atom_site_type_symbol
_atom_site_fract_x
_atom_site_fract_y
_atom_site_fract_z
Sn1 Sn 0.0000 0.0000 0.0000
I1 I 0.0000 0.0000 0.5000
Br1 Br 0.0000 0.0000 0.0674
```


Ranked by calculated energy, most stable first: version P, version Q.


Version P
First-principles (PBE) data for crystalline SnIBr2 at its relaxed geometry, as listed in Alexandria via LeMat-Bulk.

## Properties
Total magnetic moment ... 0.96 μB/f.u.

Cell and atoms, written as CIF:
```
data_SnIBr2
_chemical_formula_sum 'Sn4 I4 Br8'
_cell_length_a 7.8490
_cell_length_b 7.8490
_cell_length_c 7.8490
_cell_angle_alpha 90.00
_cell_angle_beta 90.00
_cell_angle_gamma 90.00
_space_group_name_H-M_alt 'F m -3 m'
_space_group_IT_number 225
_space_group_name_Hall '-F 4 2 3'
loop_
_atom_site_label
_atom_site_type_symbol
_atom_site_fract_x
_atom_site_fract_y
_atom_site_fract_z
Sn1 Sn 0.0000 0.0000 0.0000
I1 I 0.0000 0.0000 0.5000
Br1 Br 0.2500 0.2500 0.2500
```


Version Q
First-principles (PBE) data for crystalline SnIBr2 at its relaxed geometry, as listed in Alexandria via LeMat-Bulk.

## Properties
Total magnetic moment ... 0.00 μB/f.u.

Cell and atoms, written as CIF:
```
data_SnIBr2
_chemical_formula_sum 'Sn4 I4 Br8'
_cell_length_a 10.0945
_cell_length_b 10.0945
_cell_length_c 6.0402
_cell_angle_alpha 90.00
_cell_angle_beta 90.00
_cell_angle_gamma 90.00
_space_group_name_H-M_alt 'I -4 2 d'
_space_group_IT_number 122
_space_group_name_Hall 'I -4 2bw'
loop_
_atom_site_label
_atom_site_type_symbol
_atom_site_fract_x
_atom_site_fract_y
_atom_site_fract_z
Sn1 Sn 0.0000 0.0000 0.0000
I1 I 0.0000 0.0000 0.5000
Br1 Br 0.1203 0.7500 0.1250
```


Ranked by calculated energy, most stable first: version Q, version P.


Version P
First-principles (PBE) data for crystalline Sn3IBr at its relaxed geometry, as listed in Alexandria via LeMat-Bulk.

## Properties
Total magnetic moment ... 1.85 μB/f.u.

Cell and atoms, written as CIF:
```
data_Sn3IBr
_chemical_formula_sum 'Sn3 I1 Br1'
_cell_length_a 5.7901
_cell_length_b 5.7901
_cell_length_c 5.7901
_cell_angle_alpha 90.00
_cell_angle_beta 90.00
_cell_angle_gamma 90.00
_space_group_name_H-M_alt 'P m -3 m'
_space_group_IT_number 221
_space_group_name_Hall '-P 4 2 3'
loop_
_atom_site_label
_atom_site_type_symbol
_atom_site_fract_x
_atom_site_fract_y
_atom_site_fract_z
Sn1 Sn 0.0000 0.0000 0.5000
I1 I 0.5000 0.5000 0.5000
Br1 Br 0.0000 0.0000 0.0000
```


Version Q
First-principles (PBE) data for crystalline Sn3IBr at its relaxed geometry, as listed in Alexandria via LeMat-Bulk.

## Properties
Total magnetic moment ... 0.00 μB/f.u.

Cell and atoms, written as CIF:
```
data_Sn3IBr
_chemical_formula_sum 'Sn3 I1 Br1'
_cell_length_a 5.9795
_cell_length_b 5.9795
_cell_length_c 5.9795
_cell_angle_alpha 90.00
_cell_angle_beta 90.00
_cell_angle_gamma 90.00
_space_group_name_H-M_alt 'P m -3 m'
_space_group_IT_number 221
_space_group_name_Hall '-P 4 2 3'
loop_
_atom_site_label
_atom_site_type_symbol
_atom_site_fract_x
_atom_site_fract_y
_atom_site_fract_z
Sn1 Sn 0.0000 0.0000 0.5000
I1 I 0.0000 0.0000 0.0000
Br1 Br 0.5000 0.5000 0.5000
```


Ranked by calculated energy, most stable first: version P, version Q.